Entry 1:
Here is a relaxed Ca5PmBi5 crystal from the Alexandria database. Energies are from GGA-PBE.

Summary:
final energy = -3.790 eV per atom
total magnetization = 0.0 μB/cell
E_form = -684 meV per atom

Lattice parameters (Å, degrees): 6.426 8.230 9.006 106.16 90.00 112.98
Fractional coordinates of all 11 atoms:
Ca1 0.000 0.000 0.500
Bi1 0.500 0.000 0.000
Ca2 0.320 0.640 0.678
Bi2 0.847 0.693 0.178
Ca3 0.680 0.361 0.858
Ca4 0.680 0.360 0.322
Pm1 0.000 0.000 0.000
Bi3 0.163 0.326 0.335
Bi4 0.837 0.674 0.665
Bi5 0.153 0.307 0.822
Ca5 0.320 0.639 0.142


Entry 2:
Here is a relaxed CaPm5Bi4 crystal from the Alexandria database. Energies are from GGA-PBE.

Summary:
final energy = -4.719 eV per atom
total magnetization = 0.0 μB/cell
E_form = -591 meV per atom

Lattice parameters (Å, degrees): 5.245 8.136 11.831 133.94 102.81 90.00
Fractional coordinates of all 10 atoms:
Bi1 0.984 0.719 0.969
Bi2 0.314 0.875 0.628
Pm1 0.161 0.837 0.323
Pm2 0.840 0.695 0.680
Bi3 0.016 0.281 0.031
Pm3 0.839 0.163 0.677
Pm4 0.500 0.500 0.000
Pm5 0.160 0.305 0.320
Ca1 0.500 0.000 0.000
Bi4 0.686 0.125 0.372